[1]
A geometry-optimized AcDyAl2Si structure, computed with PBE-GGA.

Computed properties:
D(E_F) (states/eV per atom): 0.356
Energy relative to the elements, uncorrected (eV per atom): -0.45

Cell lengths 4.459, 4.562, 6.914 Å; angles 109.26, 108.81, 90.00 degrees
Positions (direct):
Ac 0.439 0.439 0.879
Dy 0.198 0.698 0.395
Al 0.687 0.187 0.374
Si 0.841 0.841 0.681
Al 0.048 0.048 0.095

***

[2]
A geometry-optimized AcDyAl2Si2 structure, computed with PBE-GGA.

Computed properties:
D(E_F) (states/eV per atom): 0.300
Energy relative to the elements, uncorrected (eV per atom): -0.57

Cell lengths 4.230, 4.230, 8.713 Å; angles 90.00, 90.00, 120.00 degrees
Positions (direct):
Ac 0.000 0.000 0.000
Si 0.333 0.667 0.280
Si 0.667 0.333 0.720
Dy 0.000 0.000 0.500
Al 0.667 0.333 0.264
Al 0.333 0.667 0.736

***

[3]
A geometry-optimized AcDyYAl structure, computed with PBE-GGA.

Computed properties:
D(E_F) (states/eV per atom): 1.938
Formation energy from the elements (meV per atom): 80

Cell lengths 5.520, 5.520, 5.520 Å; angles 60.00, 60.00, 60.00 degrees
Site moments in Bohr magnetons follow the coordinates.
Positions (direct):
Y 0.750 0.750 0.750  0.05
Ac 0.500 0.500 0.500  0.04
Al 0.000 0.000 0.000  0.00
Dy 0.250 0.250 0.250  0.06

***

[4]
A geometry-optimized Ac2DyAl4Zn3 structure, computed with PBE-GGA.

Computed properties:
D(E_F) (states/eV per atom): 0.643
Formation energy from the elements (meV per atom): -307

Cell lengths 4.510, 4.510, 11.647 Å; angles 90.00, 90.00, 90.00 degrees
Positions (direct):
Zn 0.000 0.500 0.120
Al 0.000 0.000 0.000
Al 0.500 0.000 0.659
Dy 0.500 0.500 0.500
Al 0.500 0.500 0.000
Zn 0.000 0.000 0.500
Zn 0.500 0.000 0.880
Ac 0.000 0.500 0.769
Ac 0.500 0.000 0.231
Al 0.000 0.500 0.341

***

[5]
A geometry-optimized AcDy2Al2Zn2 structure, computed with PBE-GGA.

Computed properties:
D(E_F) (states/eV per atom): 0.618
Formation energy from the elements (meV per atom): -297

Cell lengths 4.577, 4.577, 10.020 Å; angles 76.80, 76.80, 60.00 degrees
Positions (direct):
Dy 0.869 0.869 0.394
Zn 0.414 0.414 0.758
Al 0.747 0.747 0.760
Dy 0.131 0.131 0.606
Al 0.253 0.253 0.240
Ac 0.000 0.000 0.000
Zn 0.586 0.586 0.242

***

[6]
A geometry-optimized Ac3ErAl8 structure, computed with PBE-GGA.

Computed properties:
D(E_F) (states/eV per atom): 0.600
Formation energy from the elements (meV per atom): -367

Cell lengths 5.819, 5.819, 10.104 Å; angles 73.26, 73.26, 60.00 degrees
Positions (direct):
Ac 0.375 0.375 0.876
Al 0.188 0.188 0.435
Er 0.875 0.875 0.375
Al 0.939 0.939 0.680
Al 0.442 0.939 0.680
Al 0.934 0.436 0.194
Ac 0.500 0.500 0.499
Al 0.687 0.687 0.940
Al 0.436 0.436 0.194
Al 0.436 0.934 0.194
Ac 0.000 0.000 0.001
Al 0.939 0.442 0.680

***

[7]
A geometry-optimized AcEr5Al4 structure, computed with PBE-GGA.

Computed properties:
D(E_F) (states/eV per atom): 0.759
Formation energy from the elements (meV per atom): -295

Cell lengths 3.592, 3.592, 19.760 Å; angles 90.00, 90.00, 90.00 degrees
Positions (direct):
Er 0.500 0.500 0.142
Al 0.000 0.000 0.589
Al 0.000 0.000 0.769
Er 0.500 0.500 0.858
Er 0.500 0.500 0.500
Er 0.500 0.500 0.678
Ac 0.000 0.000 0.000
Al 0.000 0.000 0.411
Er 0.500 0.500 0.322
Al 0.000 0.000 0.231

***

[8]
A geometry-optimized AcErAl4 structure, computed with PBE-GGA.

Computed properties:
D(E_F) (states/eV per atom): 0.876
Formation energy from the elements (meV per atom): -377
Relative energy among the computed polymorphs (meV/atom): 0

Cell lengths 5.738, 5.738, 5.738 Å; angles 60.00, 60.00, 60.00 degrees
Positions (direct):
Al 0.625 0.625 0.625
Al 0.124 0.625 0.625
Ac 0.250 0.250 0.250
Al 0.625 0.625 0.124
Al 0.625 0.124 0.625
Er 0.000 0.000 0.000

***

[9]
A geometry-optimized AcEr3Al8 structure, computed with PBE-GGA.

Computed properties:
D(E_F) (states/eV per atom): 0.753
Formation energy from the elements (meV per atom): -439
Relative energy among the computed polymorphs (meV/atom): 0

Cell lengths 5.607, 5.607, 9.845 Å; angles 73.45, 73.45, 60.00 degrees
Positions (direct):
Ac 0.875 0.875 0.376
Al 0.432 0.936 0.696
Al 0.688 0.688 0.935
Al 0.943 0.440 0.177
Er 0.001 0.001 0.998
Al 0.936 0.432 0.696
Al 0.440 0.440 0.177
Al 0.186 0.186 0.441
Al 0.936 0.936 0.696
Er 0.376 0.376 0.872
Al 0.440 0.943 0.177
Er 0.498 0.498 0.507

***

[10]
A geometry-optimized AcErAl3 structure, computed with PBE-GGA.

Computed properties:
D(E_F) (states/eV per atom): 0.740
Formation energy from the elements (meV per atom): -366

Cell lengths 4.404, 4.531, 13.535 Å; angles 99.64, 90.00, 90.00 degrees
Positions (direct):
Er 0.750 0.205 0.410
Al 0.750 0.321 0.642
Ac 0.250 0.076 0.152
Al 0.250 0.475 0.950
Ac 0.750 0.924 0.848
Al 0.750 0.525 0.050
Er 0.250 0.795 0.590
Al 0.250 0.376 0.751
Al 0.750 0.624 0.249
Al 0.250 0.679 0.358

***

[11]
A geometry-optimized AcEr3Al8 structure, computed with PBE-GGA.

Computed properties:
D(E_F) (states/eV per atom): 0.516
Formation energy from the elements (meV per atom): -431
Relative energy among the computed polymorphs (meV/atom): 8

Cell lengths 5.615, 5.615, 9.281 Å; angles 90.00, 90.00, 120.00 degrees
Positions (direct):
Al 0.504 0.496 0.762
Er 0.667 0.333 0.426
Al 0.675 0.838 0.241
Al 0.504 0.009 0.762
Al 0.333 0.667 0.004
Al 0.162 0.325 0.241
Er 0.000 0.000 0.933
Er 0.667 0.333 0.066
Ac 0.000 0.000 0.567
Al 0.991 0.496 0.762
Al 0.162 0.838 0.241
Al 0.333 0.667 0.495

***

[12]
A geometry-optimized AcErAl4 structure, computed with PBE-GGA.

Computed properties:
D(E_F) (states/eV per atom): 0.845
Formation energy from the elements (meV per atom): -343
Relative energy among the computed polymorphs (meV/atom): 33

Cell lengths 4.405, 4.405, 8.339 Å; angles 105.31, 105.31, 90.00 degrees
Positions (direct):
Al 0.420 0.420 0.839
Al 0.580 0.580 0.161
Er 0.000 0.000 0.000
Al 0.837 0.337 0.673
Al 0.663 0.163 0.327
Ac 0.250 0.750 0.500

***

[13]
A geometry-optimized Ac2ErAl9 structure, computed with PBE-GGA.

Computed properties:
D(E_F) (states/eV per atom): 0.481
Formation energy from the elements (meV per atom): -254

Cell lengths 5.774, 5.774, 9.640 Å; angles 72.57, 72.57, 60.00 degrees
Positions (direct):
Al 0.500 0.500 0.500
Al 0.418 0.418 0.236
Er 0.000 0.000 0.000
Al 0.665 0.665 0.004
Al 0.582 0.073 0.764
Al 0.582 0.582 0.764
Al 0.073 0.582 0.764
Ac 0.859 0.859 0.423
Al 0.335 0.335 0.996
Al 0.418 0.927 0.236
Ac 0.141 0.141 0.577
Al 0.927 0.418 0.236

***

[14]
A geometry-optimized AcErAl2Ga2 structure, computed with PBE-GGA.

Computed properties:
D(E_F) (states/eV per atom): 0.709
Formation energy from the elements (meV per atom): -529

Cell lengths 4.344, 4.344, 8.750 Å; angles 90.00, 90.00, 120.00 degrees
Positions (direct):
Al 0.333 0.667 0.727
Ga 0.667 0.333 0.718
Ac 0.000 0.000 0.000
Er 0.000 0.000 0.500
Al 0.667 0.333 0.273
Ga 0.333 0.667 0.282

***

[15]
A geometry-optimized AcErAlGa2 structure, computed with PBE-GGA.

Computed properties:
D(E_F) (states/eV per atom): 0.747
Formation energy from the elements (meV per atom): -507

Cell lengths 4.548, 4.548, 6.853 Å; angles 109.38, 109.38, 90.00 degrees
Positions (direct):
Ga 0.606 0.606 0.212
Al 0.750 0.250 0.500
Er 0.250 0.750 0.500
Ac 0.000 0.000 0.000
Ga 0.394 0.394 0.788

***

[16]
A geometry-optimized AcGdErAl structure, computed with PBE-GGA.

Computed properties:
D(E_F) (states/eV per atom): 1.200
Formation energy from the elements (meV per atom): -19

Cell lengths 5.550, 5.550, 5.550 Å; angles 60.00, 60.00, 60.00 degrees
Site moments in Bohr magnetons follow the coordinates.
Positions (direct):
Gd 0.250 0.250 0.250  7.30
Ac 0.750 0.750 0.750  0.09
Er 0.500 0.500 0.500  0.31
Al 0.000 0.000 0.000  -0.01

***

[17]
A geometry-optimized AcErAl2Ge structure, computed with PBE-GGA.

Computed properties:
D(E_F) (states/eV per atom): 0.364
Formation energy from the elements (meV per atom): -504

Cell lengths 4.447, 4.588, 6.964 Å; angles 109.23, 108.62, 90.00 degrees
Positions (direct):
Er 0.197 0.697 0.395
Ac 0.441 0.441 0.883
Al 0.051 0.051 0.101
Al 0.682 0.182 0.365
Ge 0.841 0.841 0.681

***

[18]
A geometry-optimized AcErAl2Hg5 structure, computed with PBE-GGA.

Computed properties:
D(E_F) (states/eV per atom): 0.402
Formation energy from the elements (meV per atom): -177

Cell lengths 5.268, 5.268, 8.275 Å; angles 90.00, 90.00, 90.00 degrees
Positions (direct):
Hg 0.500 0.000 0.777
Hg 0.500 0.500 0.500
Er 0.000 0.000 0.000
Hg 0.000 0.500 0.777
Al 0.500 0.500 0.158
Al 0.500 0.500 0.842
Ac 0.000 0.000 0.500
Hg 0.500 0.000 0.223
Hg 0.000 0.500 0.223

***

[19]
A geometry-optimized AcHoErAl structure, computed with PBE-GGA.

Computed properties:
D(E_F) (states/eV per atom): 2.040
Formation energy from the elements (meV per atom): 100

Cell lengths 5.487, 5.487, 5.487 Å; angles 60.00, 60.00, 60.00 degrees
Positions (direct):
Ho 0.500 0.500 0.500
Ac 0.750 0.750 0.750
Er 0.000 0.000 0.000
Al 0.250 0.250 0.250

***

[20]
A geometry-optimized AcLaErAl structure, computed with PBE-GGA.

Computed properties:
D(E_F) (states/eV per atom): 1.606
Formation energy from the elements (meV per atom): 56

Cell lengths 5.596, 5.596, 5.596 Å; angles 60.00, 60.00, 60.00 degrees
Positions (direct):
La 0.750 0.750 0.750
Al 0.000 0.000 0.000
Ac 0.500 0.500 0.500
Er 0.250 0.250 0.250